First-principles (PBE-GGA) data for an optimized crystal structure of Ba5TlS6, as listed in Alexandria.

The space group is C2/m (No. 12) and the conventional cell measures 7.842, 13.582 and 7.831 Å, with angles of 90.00, 109.43 and 90.00 degrees. The distinct sites, in fractional coordinates, are Ba at (0.000, 0.000, 0.000), Ba at (0.000, 0.167, 0.500), Ba at (0.000, 0.335, 0.000), Tl at (0.000, 0.500, 0.500), S at (0.249, 0.334, 0.750) and S at (0.249, 0.500, 0.251).

The total moment is 0.000 Bohr magnetons per cell. The value obtained for the energy relative to the elements, uncorrected is -1717.2 meV/atom. As for the crystal system: monoclinic.